# 1
GdIn2Ni | PBE | optimized geometry

## Properties
Its formation enthalpy at 0 K is -0.280 eV per atom. The calculation puts the total magnetization at 7.59 μB/cell. The symmetry is P4/mmm (123). As for the electronic total energy: -6.6146 eV/atom.

Lattice parameters (Å, degrees): 3.320 3.320 7.650 90.00 90.00 90.00
Fractional coordinates of all 4 atoms:
1 Ni 0.500 0.500 0.000
2 Gd 0.500 0.500 0.500
3 In 0.000 0.000 0.196
4 In 0.000 0.000 0.804



# 2
Gd2InNi2 | PBE | optimized geometry

## Properties
Its formation enthalpy at 0 K is -0.509 eV per atom. The calculation puts the total magnetization at 14.10 μB/cell. The symmetry is Cmmm (65). As for the electronic total energy: -9.0019 eV/atom.

Lattice parameters (Å, degrees): 3.739 3.908 7.486 105.11 90.00 90.00
Fractional coordinates of all 5 atoms:
1 Ni 0.000 0.199 0.397
2 Gd 0.500 0.362 0.724
3 In 0.000 0.000 0.000
4 Ni 0.000 0.801 0.603
5 Gd 0.500 0.638 0.276



# 3
GdIn2Ni | PBE | optimized geometry

## Properties
Its formation enthalpy at 0 K is 0.208 eV per atom. The calculation puts the total magnetization at 7.61 μB/cell. The symmetry is R-3m (166). As for the electronic total energy: -6.1270 eV/atom.

Lattice parameters (Å, degrees): 3.337 3.337 10.326 80.70 80.70 60.00
Fractional coordinates of all 4 atoms:
1 In 0.894 0.894 0.317
2 Gd 0.000 0.000 0.000
3 In 0.106 0.106 0.683
4 Ni 0.500 0.500 0.500



# 4
GdInNi2 | PBE | optimized geometry

## Properties
Its formation enthalpy at 0 K is -0.219 eV per atom. The calculation puts the total magnetization at 7.08 μB/cell. The symmetry is P4/mmm (123). As for the electronic total energy: -7.3144 eV/atom.

Lattice parameters (Å, degrees): 3.341 3.341 6.405 90.00 90.00 90.00
Fractional coordinates of all 4 atoms:
1 Ni 0.000 0.000 0.782
2 Gd 0.500 0.500 0.500
3 Ni 0.000 0.000 0.218
4 In 0.500 0.500 0.000



# 5
GdIn2Ni9 | PBE | optimized geometry

## Properties
Its formation enthalpy at 0 K is -0.217 eV per atom. The calculation puts the total magnetization at 10.98 μB/cell. The symmetry is P4/mbm (127). As for the electronic total energy: -6.1829 eV/atom.

Lattice parameters (Å, degrees): 8.263 8.263 4.849 90.00 90.00 90.00
Fractional coordinates of all 24 atoms:
1 Ni 0.564 0.293 0.500
2 Ni 0.707 0.564 0.500
3 Ni 0.793 0.064 0.500
4 Ni 0.207 0.936 0.500
5 Ni 0.176 0.676 0.249
6 Ni 0.324 0.176 0.249
7 Ni 0.824 0.324 0.751
8 Ni 0.324 0.176 0.751
9 Ni 0.436 0.707 0.500
10 In 0.875 0.625 0.000
11 Ni 0.676 0.824 0.751
12 Ni 0.676 0.824 0.249
13 Gd 0.500 0.500 0.000
14 Ni 0.936 0.793 0.500
15 Ni 0.064 0.207 0.500
16 Ni 0.176 0.676 0.751
17 In 0.125 0.375 0.000
18 Ni 0.000 0.500 0.500
19 In 0.625 0.125 0.000
20 Gd 0.000 0.000 0.000
21 In 0.375 0.875 0.000
22 Ni 0.824 0.324 0.249
23 Ni 0.293 0.436 0.500
24 Ni 0.500 0.000 0.500



# 6
GdInNi4 | PBE | optimized geometry

## Properties
Its formation enthalpy at 0 K is -0.372 eV per atom. The calculation puts the total magnetization at 6.99 μB/cell. The symmetry is F-43m (216). As for the electronic total energy: -7.0298 eV/atom.

Lattice parameters (Å, degrees): 5.009 5.009 5.009 60.00 60.00 60.00
Fractional coordinates of all 6 atoms:
1 Gd 0.250 0.250 0.250
2 Ni 0.626 0.626 0.122
3 Ni 0.626 0.122 0.626
4 Ni 0.122 0.626 0.626
5 Ni 0.626 0.626 0.626
6 In 0.000 0.000 0.000



# 7
PmGdInNi | PBE | optimized geometry

## Properties
Its formation enthalpy at 0 K is -0.269 eV per atom. The calculation puts the total magnetization at 7.11 μB/cell. The symmetry is F-43m (216). As for the electronic total energy: -7.1066 eV/atom.

Lattice parameters (Å, degrees): 5.192 5.192 5.192 60.00 60.00 60.00
Fractional coordinates of all 4 atoms:
1 Pm 0.750 0.750 0.750
2 Ni 0.500 0.500 0.500
3 Gd 0.250 0.250 0.250
4 In 0.000 0.000 0.000



# 8
PrGdInNi | PBE | optimized geometry

## Properties
Its formation enthalpy at 0 K is -0.246 eV per atom. The calculation puts the total magnetization at 7.13 μB/cell. The symmetry is F-43m (216). As for the electronic total energy: -7.0911 eV/atom.

Lattice parameters (Å, degrees): 5.233 5.233 5.233 60.00 60.00 60.00
Fractional coordinates of all 4 atoms:
1 In 0.000 0.000 0.000
2 Gd 0.750 0.750 0.750
3 Pr 0.250 0.250 0.250
4 Ni 0.500 0.500 0.500



# 9
GdInNiRu | PBE | optimized geometry

## Properties
Its formation enthalpy at 0 K is -0.228 eV per atom. The calculation puts the total magnetization at 7.05 μB/cell. The symmetry is F-43m (216). As for the electronic total energy: -8.1973 eV/atom.

Lattice parameters (Å, degrees): 4.680 4.680 4.680 60.00 60.00 60.00
Fractional coordinates of all 4 atoms:
1 In 0.750 0.750 0.750
2 Ni 0.000 0.000 0.000
3 Gd 0.250 0.250 0.250
4 Ru 0.500 0.500 0.500



# 10
GdTmInNi | PBE | optimized geometry

## Properties
Its formation enthalpy at 0 K is -0.312 eV per atom. The calculation puts the total magnetization at 7.18 μB/cell. The symmetry is F-43m (216). As for the electronic total energy: -7.0801 eV/atom.

Lattice parameters (Å, degrees): 5.087 5.087 5.087 60.00 60.00 60.00
Fractional coordinates of all 4 atoms:
1 Tm 0.500 0.500 0.500
2 In 0.750 0.750 0.750
3 Ni 0.250 0.250 0.250
4 Gd 0.000 0.000 0.000



# 11
Gd3InO6 | PBE | optimized geometry

## Properties
The calculation puts the total magnetization at 42.00 μB/cell. The symmetry is R-3 (148). The calculation puts the uncorrected formation energy at -29.93 eV/f.u. As for the electronic total energy: -10.4657 eV/atom.

Lattice parameters (Å, degrees): 6.762 6.762 6.762 92.09 92.09 92.09
Fractional coordinates of all 20 atoms:
1 O 0.189 0.404 0.535
2 O 0.535 0.189 0.404
3 O 0.404 0.535 0.189
4 Gd 0.440 0.747 0.933
5 O 0.069 0.911 0.310
6 In 0.000 0.000 0.000
7 Gd 0.067 0.560 0.253
8 O 0.596 0.465 0.811
9 O 0.465 0.811 0.596
10 O 0.931 0.089 0.690
11 O 0.310 0.069 0.911
12 O 0.089 0.690 0.931
13 In 0.500 0.500 0.500
14 Gd 0.933 0.440 0.747
15 Gd 0.747 0.933 0.440
16 Gd 0.560 0.253 0.067
17 O 0.690 0.931 0.089
18 O 0.811 0.596 0.465
19 Gd 0.253 0.067 0.560
20 O 0.911 0.310 0.069



# 12
GdInO3 | PBE | optimized geometry

## Properties
The calculation puts the total magnetization at 27.84 μB/cell. The symmetry is Pnma (62). The calculation puts the uncorrected formation energy at -12.40 eV/f.u. As for the electronic total energy: -8.8188 eV/atom.

Lattice parameters (Å, degrees): 5.596 5.907 8.255 90.00 90.00 90.00
Fractional coordinates of all 20 atoms:
1 O 0.311 0.193 0.073
2 In 0.000 0.000 0.000
3 In 0.000 0.000 0.500
4 Gd 0.478 0.937 0.250
5 In 0.500 0.500 0.000
6 O 0.189 0.693 0.073
7 O 0.689 0.807 0.573
8 O 0.189 0.693 0.427
9 O 0.811 0.307 0.573
10 O 0.311 0.193 0.427
11 O 0.360 0.435 0.750
12 O 0.689 0.807 0.927
13 O 0.811 0.307 0.927
14 O 0.640 0.565 0.250
15 In 0.500 0.500 0.500
16 Gd 0.022 0.437 0.250
17 Gd 0.522 0.063 0.750
18 O 0.860 0.065 0.250
19 Gd 0.978 0.563 0.750
20 O 0.140 0.935 0.750



# 13
Gd3InO6 | PBE | optimized geometry

## Properties
The calculation puts the total magnetization at 42.00 μB/cell. The symmetry is Cmc2_1 (36). The calculation puts the uncorrected formation energy at -29.51 eV/f.u. As for the electronic total energy: -10.4237 eV/atom.

Lattice parameters (Å, degrees): 7.305 7.305 5.671 90.00 90.00 102.88
Fractional coordinates of all 20 atoms:
1 O 0.898 0.431 0.312
2 O 0.973 0.027 0.321
3 In 0.815 0.185 0.515
4 O 0.431 0.898 0.812
5 O 0.357 0.322 0.808
6 O 0.569 0.102 0.312
7 Gd 0.910 0.698 0.532
8 O 0.322 0.357 0.308
9 Gd 0.302 0.090 0.532
10 Gd 0.601 0.399 0.084
11 O 0.781 0.219 0.869
12 Gd 0.399 0.601 0.584
13 Gd 0.090 0.302 0.032
14 O 0.102 0.569 0.812
15 Gd 0.698 0.910 0.032
16 In 0.185 0.815 0.015
17 O 0.678 0.643 0.808
18 O 0.219 0.781 0.369
19 O 0.027 0.973 0.821
20 O 0.643 0.678 0.308



# 14
GdInO3 | PBE | optimized geometry

## Properties
The calculation puts the total magnetization at 41.99 μB/cell. The symmetry is P6_3cm (185). The calculation puts the uncorrected formation energy at -12.65 eV/f.u. As for the electronic total energy: -8.8696 eV/atom.

Lattice parameters (Å, degrees): 6.421 6.421 12.461 90.00 90.00 120.00
Fractional coordinates of all 30 atoms:
1 In 0.000 0.666 0.226
2 O 0.000 0.361 0.558
3 In 0.334 0.000 0.726
4 In 0.666 0.000 0.226
5 O 0.667 0.333 0.254
6 O 0.693 0.693 0.897
7 O 0.361 0.361 0.058
8 In 0.334 0.334 0.226
9 In 0.000 0.334 0.726
10 O 0.693 0.000 0.397
11 Gd 0.333 0.667 0.961
12 O 0.000 0.693 0.397
13 O 0.000 0.000 0.196
14 Gd 0.667 0.333 0.961
15 Gd 0.333 0.667 0.461
16 O 0.000 0.639 0.058
17 O 0.333 0.667 0.754
18 In 0.666 0.666 0.726
19 O 0.639 0.000 0.058
20 Gd 0.000 0.000 0.497
21 O 0.307 0.307 0.397
22 O 0.667 0.333 0.754
23 O 0.000 0.000 0.696
24 O 0.307 0.000 0.897
25 Gd 0.000 0.000 0.997
26 O 0.639 0.639 0.558
27 O 0.000 0.307 0.897
28 O 0.333 0.667 0.254
29 Gd 0.667 0.333 0.461
30 O 0.361 0.000 0.558



# 15
Gd2InOs | PBE | optimized geometry

## Properties
Its formation enthalpy at 0 K is -0.323 eV per atom. The calculation puts the total magnetization at 14.06 μB/cell. The symmetry is P4/mmm (123). As for the electronic total energy: -10.8559 eV/atom.

Lattice parameters (Å, degrees): 3.385 3.385 8.497 90.00 90.00 90.00
Fractional coordinates of all 4 atoms:
1 Gd 0.000 0.000 0.202
2 Gd 0.000 0.000 0.798
3 Os 0.500 0.500 0.000
4 In 0.500 0.500 0.500



# 16
Gd2InOs | PBE | optimized geometry

## Properties
Its formation enthalpy at 0 K is -0.172 eV per atom. The calculation puts the total magnetization at 14.18 μB/cell. The symmetry is P4/mmm (123). As for the electronic total energy: -10.7042 eV/atom.

Lattice parameters (Å, degrees): 3.688 5.023 5.023 90.00 90.00 90.00
Fractional coordinates of all 4 atoms:
1 Gd 0.000 0.500 0.000
2 Gd 0.000 0.000 0.500
3 In 0.500 0.000 0.000
4 Os 0.500 0.500 0.500



# 17
Gd2InOs | PBE | optimized geometry

## Properties
Its formation enthalpy at 0 K is -0.198 eV per atom. The calculation puts the total magnetization at 13.95 μB/cell. The symmetry is Fm-3m (225). As for the electronic total energy: -10.7305 eV/atom.

Lattice parameters (Å, degrees): 5.088 5.088 5.088 60.00 60.00 60.00
Fractional coordinates of all 4 atoms:
1 Os 0.500 0.500 0.500
2 Gd 0.250 0.250 0.250
3 Gd 0.750 0.750 0.750
4 In 0.000 0.000 0.000



# 18
PmGdInOs | PBE | optimized geometry

## Properties
Its formation enthalpy at 0 K is -0.156 eV per atom. The calculation puts the total magnetization at 6.95 μB/cell. The symmetry is F-43m (216). As for the electronic total energy: -8.3561 eV/atom.

Lattice parameters (Å, degrees): 5.133 5.133 5.133 60.00 60.00 60.00
Fractional coordinates of all 4 atoms:
1 Pm 0.250 0.250 0.250
2 Gd 0.750 0.750 0.750
3 Os 0.500 0.500 0.500
4 In 0.000 0.000 0.000



# 19
GdTmInOs | PBE | optimized geometry

## Properties
Its formation enthalpy at 0 K is -0.237 eV per atom. The calculation puts the total magnetization at 6.98 μB/cell. The symmetry is F-43m (216). As for the electronic total energy: -8.3668 eV/atom.

Lattice parameters (Å, degrees): 5.031 5.031 5.031 60.00 60.00 60.00
Fractional coordinates of all 4 atoms:
1 Tm 0.000 0.000 0.000
2 Gd 0.500 0.500 0.500
3 Os 0.750 0.750 0.750
4 In 0.250 0.250 0.250



# 20
GdYInOs | PBE | optimized geometry

## Properties
Its formation enthalpy at 0 K is -0.218 eV per atom. The calculation puts the total magnetization at 6.97 μB/cell. The symmetry is F-43m (216). As for the electronic total energy: -8.8466 eV/atom.

Lattice parameters (Å, degrees): 5.070 5.070 5.070 60.00 60.00 60.00
Fractional coordinates of all 4 atoms:
1 Os 0.250 0.250 0.250
2 In 0.750 0.750 0.750
3 Gd 0.000 0.000 0.000
4 Y 0.500 0.500 0.500